No. 1
Here is crystalline TlCdHg2 at its relaxed geometry from the Alexandria database. Energies are from PBEsol.

Fermi-level density of states = 1.4 states/eV/cell
ΔH_f (0 K) = 0.02 eV/atom
Space-group type = Immm
ΔE to the lowest computed polymorph = 0.0314 eV per atom

Cell lengths 5.957, 5.957, 5.957 Å; angles 144.66, 126.24, 65.99 degrees
Element x y z (fractional)
1 Tl 0.000 0.000 0.000
2 Cd 0.500 0.500 0.000
3 Hg 0.262 0.762 0.500
4 Hg 0.738 0.238 0.500

=====

No. 2
Here is crystalline Tl2CdHg at its relaxed geometry from the Alexandria database. Energies are from PBEsol.

Fermi-level density of states = 1.5 states/eV/cell
ΔH_f (0 K) = 0.01 eV/atom
Space-group type = P4mm
ΔE to the lowest computed polymorph = 0.0000 eV per atom

Cell lengths 3.310, 3.310, 9.146 Å; angles 90.00, 90.00, 90.00 degrees
Element x y z (fractional)
1 Tl 0.000 0.000 0.000
2 Tl 0.500 0.500 0.287
3 Cd 0.000 0.000 0.534
4 Hg 0.500 0.500 0.748

=====

No. 3
Here is crystalline TlCdHg2 at its relaxed geometry from the Alexandria database. Energies are from PBEsol.

Fermi-level density of states = 1.4 states/eV/cell
ΔH_f (0 K) = 0.02 eV/atom
Space-group type = P4mm
ΔE to the lowest computed polymorph = 0.0274 eV per atom

Cell lengths 3.565, 3.565, 7.630 Å; angles 90.00, 90.00, 90.00 degrees
Element x y z (fractional)
1 Tl 0.000 0.000 0.000
2 Cd 0.500 0.500 0.268
3 Hg 0.000 0.000 0.491
4 Hg 0.500 0.500 0.732

=====

No. 4
Here is crystalline TlCd2Hg at its relaxed geometry from the Alexandria database. Energies are from PBEsol.

Fermi-level density of states = 1.3 states/eV/cell
ΔH_f (0 K) = 0.05 eV/atom
Space-group type = Imm2
ΔE to the lowest computed polymorph = 0.0308 eV per atom

Cell lengths 6.057, 6.057, 6.057 Å; angles 144.54, 132.06, 61.02 degrees
Element x y z (fractional)
1 Tl 0.000 0.000 0.000
2 Cd 0.261 0.761 0.500
3 Cd 0.501 0.501 0.000
4 Hg 0.741 0.241 0.500

=====

No. 5
Here is crystalline TlCd2Hg at its relaxed geometry from the Alexandria database. Energies are from PBEsol.

Fermi-level density of states = 1.2 states/eV/cell
ΔH_f (0 K) = 0.04 eV/atom
Space-group type = I-4m2
ΔE to the lowest computed polymorph = 0.0184 eV per atom

Cell lengths 5.706, 5.706, 5.706 Å; angles 134.39, 134.39, 66.48 degrees
Element x y z (fractional)
1 Tl 0.000 0.000 0.000
2 Cd 0.500 0.500 0.000
3 Cd 0.750 0.250 0.500
4 Hg 0.250 0.750 0.500

=====

No. 6
Here is crystalline TlCdHg2 at its relaxed geometry from the Alexandria database. Energies are from PBEsol.

Fermi-level density of states = 1.1 states/eV/cell
ΔH_f (0 K) = 0.01 eV/atom
Space-group type = I4/mmm
ΔE to the lowest computed polymorph = 0.0179 eV per atom

Cell lengths 5.491, 5.491, 5.491 Å; angles 129.28, 129.28, 74.55 degrees
Element x y z (fractional)
1 Tl 0.000 0.000 0.000
2 Cd 0.500 0.500 0.000
3 Hg 0.250 0.750 0.500
4 Hg 0.750 0.250 0.500

=====

Result set for final energy: -1.221 -1.747 -1.225 -1.349 -1.362 -1.235 eV/atom, one per record in the order listed.